First-principles (PBE+U) data for a relaxed Cr4B2O crystal, as listed in the Alexandria database.

abc: 4.177 4.177 5.984
angles: 69.57 69.57 90.00
Atoms (fractional coordinates):
Cr  0.210  0.210  0.579
Cr  0.500  0.000  0.000
B  0.414  0.414  0.172
B  0.586  0.586  0.828
O  0.000  0.000  0.000
Cr  0.790  0.790  0.421
Cr  0.000  0.500  0.000

Summary:
- Size of the total moment: 13.983 μB per cell
- V: 12.97 Å³ per atom
- Symmetry: I4/mmm, No. 139
- Calculated total energy: -6.690 eV/atom